1.
# Tl3CdHg, optimized geometry, DFT PBE
# Formation energy from the elements = 0.26 eV/atom
data_Tl3CdHg
_chemical_formula_sum 'Tl3 Cd1 Hg1'
_space_group_name_H-M_alt 'P m -3 m'
_space_group_IT_number 221
_space_group_name_Hall '-P 4 2 3'
_cell_length_a 5.718
_cell_length_b 5.718
_cell_length_c 5.718
_cell_angle_alpha 90.00
_cell_angle_beta 90.00
_cell_angle_gamma 90.00
loop_
_atom_site_label
_atom_site_type_symbol
_atom_site_fract_x
_atom_site_fract_y
_atom_site_fract_z
Tl1 Tl 0.000 0.000 0.500
Cd1 Cd 0.000 0.000 0.000
Hg1 Hg 0.500 0.500 0.500


2.
# LiSe2NO, optimized geometry, DFT PBE
# Formation energy without anion corrections = 1355 meV/atom
data_LiSe2NO
_chemical_formula_sum 'Li1 Se2 N1 O1'
_space_group_name_H-M_alt 'P 4/m m m'
_space_group_IT_number 123
_space_group_name_Hall '-P 4 2'
_cell_length_a 4.523
_cell_length_b 4.523
_cell_length_c 3.376
_cell_angle_alpha 90.00
_cell_angle_beta 90.00
_cell_angle_gamma 90.00
loop_
_atom_site_label
_atom_site_type_symbol
_atom_site_fract_x
_atom_site_fract_y
_atom_site_fract_z
Li1 Li 0.000 0.000 0.000
Se1 Se 0.000 0.500 0.000
N1 N 0.000 0.000 0.500
O1 O 0.500 0.500 0.500


3.
# NdY2NpN4, optimized geometry, DFT PBE
# Formation energy without anion corrections = -1197 meV/atom
data_NdY2NpN4
_chemical_formula_sum 'Nd4 Y8 Np4 N16'
_space_group_name_H-M_alt 'C m c m'
_space_group_IT_number 63
_space_group_name_Hall '-C 2c 2'
_cell_length_a 3.429
_cell_length_b 13.133
_cell_length_c 11.028
_cell_angle_alpha 90.00
_cell_angle_beta 90.00
_cell_angle_gamma 90.00
loop_
_atom_site_label
_atom_site_type_symbol
_atom_site_fract_x
_atom_site_fract_y
_atom_site_fract_z
Nd1 Nd 0.000 0.231 0.250
Y1 Y 0.000 0.372 0.513
Np1 Np 0.000 0.036 0.750
N1 N 0.000 0.000 0.000
N2 N 0.000 0.202 0.612
N3 N 0.000 0.424 0.750


Repeat the first record exactly.
# Tl3CdHg, optimized geometry, DFT PBE
# Formation energy from the elements = 0.26 eV/atom
data_Tl3CdHg
_chemical_formula_sum 'Tl3 Cd1 Hg1'
_space_group_name_H-M_alt 'P m -3 m'
_space_group_IT_number 221
_space_group_name_Hall '-P 4 2 3'
_cell_length_a 5.718
_cell_length_b 5.718
_cell_length_c 5.718
_cell_angle_alpha 90.00
_cell_angle_beta 90.00
_cell_angle_gamma 90.00
loop_
_atom_site_label
_atom_site_type_symbol
_atom_site_fract_x
_atom_site_fract_y
_atom_site_fract_z
Tl1 Tl 0.000 0.000 0.500
Cd1 Cd 0.000 0.000 0.000
Hg1 Hg 0.500 0.500 0.500